1.
Here is a crystal of InSiSb2Pt relaxed with PBEsol from the Alexandria database. Energies are from SCAN.

The value obtained for the theoretical density is 7.79 g/cm³. The value obtained for the energy relative to the elements, uncorrected is 88.7 kJ/mol of atoms. The space group is P4/mmm (123). Its crystal system is tetragonal. The total magnetic moment is 0.000 μB/f.u.

Cell lengths 4.8793, 5.0390, 5.0390 Å; angles 90.00, 90.00, 90.00 degrees
Last column: nearest neighbours and their distance in Å.
Fractional positions:
1 In 0.5000 0.0000 0.0000  2 Si 2.44
2 Sb 0.0000 0.0000 0.5000  2 Si 2.52
3 Sb 0.0000 0.5000 0.0000  2 Si 2.52
4 Si 0.0000 0.0000 0.0000  2 In 2.44, 4 Sb 2.52
5 Pt 0.5000 0.5000 0.5000  8 Sb 3.51, 4 In 3.56

2.
Here is a crystal of ZnIn2SbPt relaxed with PBEsol from the Alexandria database. Energies are from SCAN.

The value obtained for the theoretical density is 8.11 g/cm³. The value obtained for the energy relative to the elements, uncorrected is -4.4 kJ/mol of atoms. The space group is P4/mmm (123). Its crystal system is tetragonal. The total magnetic moment is 0.000 μB/f.u.

Cell lengths 4.7767, 5.1218, 5.1218 Å; angles 90.00, 90.00, 90.00 degrees
Last column: nearest neighbours and their distance in Å.
Fractional positions:
1 Pt 0.0000 0.0000 0.0000  2 Zn 2.39, 4 In 2.56
2 Sb 0.5000 0.5000 0.5000  8 In 3.50, 4 Zn 3.62
3 In 0.0000 0.5000 0.0000  2 Pt 2.56
4 In 0.0000 0.0000 0.5000  2 Pt 2.56
5 Zn 0.5000 0.0000 0.0000  2 Pt 2.39

3.
Here is a crystal of ScInPt relaxed with PBEsol from the Alexandria database. Energies are from SCAN.

The value obtained for the theoretical density is 10.43 g/cm³. Its formation energy is -0.899 eV/atom. The space group is I4mm (107). Its crystal system is tetragonal. The total magnetic moment is 0.000 μB/f.u.

Cell lengths 3.2350, 3.2350, 5.8635 Å; angles 106.01, 106.01, 90.00 degrees
Last column: nearest neighbours and their distance in Å.
Fractional positions:
1 In 0.0123 0.0123 0.0246  4 Pt 2.86, 4 Sc 3.12
2 Pt 0.6720 0.6720 0.3439  4 Sc 2.76, 4 In 2.86
3 Sc 0.3157 0.3157 0.6314  4 Pt 2.76

4.
Here is a crystal of ScIn2Pt relaxed with PBEsol from the Alexandria database. Energies are from SCAN.

The value obtained for the theoretical density is 10.03 g/cm³. Its formation energy is -0.528 eV/atom. The space group is P4/mmm (123). Its crystal system is tetragonal. The total magnetic moment is 0.558 μB/f.u.

Cell lengths 3.2731, 3.2731, 7.2590 Å; angles 90.00, 90.00, 90.00 degrees
Last column: nearest neighbours and their distance in Å.
Fractional positions:
1 In 0.0000 0.0000 0.7787  4 Pt 2.82, 4 Sc 3.07
2 In 0.0000 0.0000 0.2213  4 Pt 2.82, 4 Sc 3.07
3 Sc 0.5000 0.5000 0.5000  8 In 3.07, 4 Sc 3.27
4 Pt 0.5000 0.5000 0.0000  8 In 2.82